1.
Material: Ta3Mn2N
Method: DFT, PBE-GGA
State: relaxed

Calculated total energy (eV/cell): -258.64
Crystal system: cubic

Cell: 6.9046 6.9046 6.9046 Å, 90.00 90.00 90.00°
Closest atoms and distances in Å follow each position.
Fractional positions:
Ta: 0.0448 0.1250 0.7948  2 N 2.16
Ta: 0.1250 0.7948 0.0448  2 N 2.16
Ta: 0.2052 0.5448 0.3750  2 N 2.16
Ta: 0.2948 0.4552 0.8750  2 N 2.16
Ta: 0.3750 0.2052 0.5448  2 N 2.16
Ta: 0.4552 0.8750 0.2948  2 N 2.16
Ta: 0.5448 0.3750 0.2052  2 N 2.16
Ta: 0.6250 0.7052 0.9552  2 N 2.16
Ta: 0.7052 0.9552 0.6250  2 N 2.16
Ta: 0.7948 0.0448 0.1250  2 N 2.16
Ta: 0.8750 0.2948 0.4552  2 N 2.16
Ta: 0.9552 0.6250 0.7052  2 N 2.16
Mn: 0.0753 0.9247 0.4247  3 Mn 2.54, 3 Ta 2.79
Mn: 0.1747 0.1747 0.1747  3 Mn 2.54, 3 Ta 2.79
Mn: 0.3253 0.8253 0.6747  3 Mn 2.54, 3 Ta 2.79
Mn: 0.4247 0.0753 0.9247  3 Mn 2.54, 3 Ta 2.79
Mn: 0.5753 0.5753 0.5753  3 Mn 2.54, 3 Ta 2.79
Mn: 0.6747 0.3253 0.8253  3 Mn 2.54, 3 Ta 2.79
Mn: 0.8253 0.6747 0.3253  3 Mn 2.54, 3 Ta 2.79
Mn: 0.9247 0.4247 0.0753  3 Mn 2.54, 3 Ta 2.79
N: 0.1250 0.3750 0.6250  6 Ta 2.16
N: 0.3750 0.6250 0.1250  6 Ta 2.16
N: 0.6250 0.1250 0.3750  6 Ta 2.16
N: 0.8750 0.8750 0.8750  6 Ta 2.16


2.
Material: Cr
Method: DFT, PBE-GGA
State: relaxed

ΔE_f (eV/atom): 0.47
Relative energy among the computed polymorphs (meV per atom): 468
Crystal system: orthorhombic

Cell: 4.8025 4.5825 2.4287 Å, 80.08 70.04 29.88°
Closest atoms and distances in Å follow each position.
Fractional positions:
Cr: 0.1316 0.1316 0.8684  7 Cr 2.30-2.49
Cr: 0.8684 0.8684 0.1316  7 Cr 2.30-2.49


3.
Material: Sm3BiSbN
Method: DFT, PBE-GGA
State: relaxed

Calculated total energy (eV/cell): -73.95
Crystal system: monoclinic

Cell: 9.3724 4.2973 9.5242 Å, 90.00 97.07 90.00°
Closest atoms and distances in Å follow each position.
Fractional positions:
Sm: 0.1093 0.2500 0.3595  3 Sb 3.09-3.13, 2 Bi 3.18
Sm: 0.3551 0.2500 0.9990  3 N 2.25-2.39
Sm: 0.3838 0.7500 0.6766  1 N 2.21
Sm: 0.6162 0.2500 0.3234  1 N 2.21
Sm: 0.6449 0.7500 0.0010  3 N 2.25-2.39
Sm: 0.8907 0.7500 0.6405  3 Sb 3.09-3.13, 2 Bi 3.18
Bi: 0.3445 0.7500 0.3008  5 Sm 3.18-3.55
Bi: 0.6555 0.2500 0.6992  5 Sm 3.18-3.55
Sb: 0.1349 0.2500 0.6864  6 Sm 3.09-3.41
Sb: 0.8651 0.7500 0.3136  6 Sm 3.09-3.41
N: 0.4119 0.7500 0.9099  4 Sm 2.21-2.39
N: 0.5881 0.2500 0.0901  4 Sm 2.21-2.39


4.
Material: Al2RuCl
Method: DFT, PBE-GGA
State: relaxed

Relative energy among the computed polymorphs (meV per atom): 187
Crystal system: tetragonal

Cell: 3.0328 3.0328 7.3450 Å, 90.00 90.00 90.00°
Closest atoms and distances in Å follow each position.
Fractional positions:
Al: 0.0000 0.0000 0.1923  4 Ru 2.57, 1 Al 2.82
Al: 0.0000 0.0000 0.8077  4 Ru 2.57, 1 Al 2.82
Ru: 0.5000 0.5000 0.0000  8 Al 2.57
Cl: 0.5000 0.5000 0.5000  4 Cl 3.03, 8 Al 3.12


5.
Material: KWSe2
Method: DFT, PBE-GGA
State: relaxed

Relative energy among the computed polymorphs (meV per atom): 134
Crystal system: orthorhombic

Cell: 4.3445 7.4862 7.4862 Å, 27.18 90.00 90.00°
Closest atoms and distances in Å follow each position.
Fractional positions:
K: 0.0000 0.0000 0.0000  6 Se 3.26-3.30, 2 K 3.52
W: 0.5000 0.2354 0.2354  4 Se 2.42-2.48
Se: 0.0000 0.3079 0.3079  2 W 2.42
Se: 0.5000 0.6149 0.6149  2 W 2.48


6.
Material: K2RbBi
Method: DFT, PBE-GGA
State: relaxed

ΔE_f (eV/atom): -0.21
Crystal system: tetragonal

Cell: 5.7316 5.7316 5.5674 Å, 90.00 90.00 90.00°
Closest atoms and distances in Å follow each position.
Fractional positions:
K: 0.0000 0.5000 0.0000  4 Bi 4.00, 4 Rb 4.00, 4 K 4.05
K: 0.5000 0.0000 0.0000  4 Bi 4.00, 4 Rb 4.00, 4 K 4.05
Rb: 0.0000 0.0000 0.5000  8 K 4.00, 4 Bi 4.05
Bi: 0.5000 0.5000 0.5000  8 K 4.00, 4 Rb 4.05